No. 1
Entry from Alexandria: Rb3Sm2TlO6 after structural relaxation (PBE).

Results
The value obtained for the formation energy (no corrections) is -2.037 eV/atom.

Structure (POSCAR):
```
Rb3Sm2TlO6
1.0
3.104 -5.375 0.000
3.104 5.375 0.000
-2.064 0.000 6.599
Rb Sm Tl O
3 2 1 6
direct
0.000 0.000 0.000
0.337 0.663 0.000
0.663 0.337 0.000
0.167 0.833 0.500
0.833 0.167 0.500
0.500 0.500 0.500
0.102 0.439 0.316
0.224 0.224 0.684
0.439 0.102 0.316
0.561 0.898 0.684
0.776 0.776 0.316
0.898 0.561 0.684
```

***

No. 2
Entry from Alexandria: SrPtCl2 after structural relaxation (PBE).

Results
The value obtained for the formation energy (no corrections) is -0.968 eV/atom. The distance to the lowest polymorph of the same formula comes out at 1.43 eV per formula unit.

Structure (POSCAR):
```
SrPtCl2
1.0
-2.474 2.474 8.378
2.474 -2.474 8.378
2.474 2.474 -8.378
Sr Pt Cl
2 2 4
direct
0.000 0.000 0.000
0.750 0.250 0.500
0.250 0.750 0.500
0.500 0.500 0.000
0.175 0.625 0.050
0.375 0.425 0.550
0.575 0.125 0.950
0.875 0.825 0.450
```

***

No. 3
Entry from Alexandria: La2BeFe after structural relaxation (PBE).

Results
The energy is -21.66 eV/cell.

Structure (POSCAR):
```
La2BeFe
1.0
4.819 0.000 0.000
-2.410 4.174 0.000
0.000 0.000 4.364
La Be Fe
2 1 1
direct
0.000 0.000 0.000
0.333 0.667 0.500
0.667 0.333 0.000
0.667 0.333 0.500
```

***

No. 4
Entry from Alexandria: PmEuHoSc after structural relaxation (PBE).

Results
The energy is -25.28 eV/cell.

Structure (POSCAR):
```
PmEuHoSc
1.0
0.000 3.991 3.991
3.991 0.000 3.991
3.991 3.991 0.000
Pm Eu Ho Sc
1 1 1 1
direct
0.000 0.000 0.000
0.500 0.500 0.500
0.250 0.250 0.250
0.750 0.750 0.750
```

***

No. 5
Entry from Alexandria: La2NiAs after structural relaxation (PBE).

Results
The energy is -47.70 eV/cell.

Structure (POSCAR):
```
La2NiAs
1.0
2.102 -12.124 0.000
2.102 12.124 0.000
0.000 0.000 4.327
La Ni As
4 2 2
direct
0.063 0.937 0.750
0.312 0.688 0.750
0.688 0.312 0.250
0.937 0.063 0.250
0.477 0.523 0.750
0.523 0.477 0.250
0.186 0.814 0.750
0.814 0.186 0.250
```

***

No. 6
Entry from Alexandria: CeScCo after structural relaxation (PBE).

Results
The distance to the lowest polymorph of the same formula comes out at 0.85 eV per formula unit.

Structure (POSCAR):
```
CeScCo
1.0
3.878 0.000 0.000
-1.939 3.359 0.000
0.000 0.000 5.090
Ce Sc Co
1 1 1
direct
0.000 0.000 0.000
0.667 0.333 0.503
0.333 0.667 0.273
```

***

No. 7
Entry from Alexandria: PrCo12Ge6 after structural relaxation (PBE).

Results
The energy is -119.16 eV/cell.

Structure (POSCAR):
```
PrCo12Ge6
1.0
5.322 3.073 2.675
-5.322 3.073 2.675
0.000 -6.145 2.675
Pr Co Ge
1 12 6
direct
0.000 0.000 0.000
0.128 0.500 0.872
0.128 0.872 0.500
0.186 0.437 0.437
0.437 0.186 0.437
0.437 0.437 0.186
0.500 0.128 0.872
0.500 0.872 0.128
0.563 0.563 0.814
0.563 0.814 0.563
0.814 0.563 0.563
0.872 0.128 0.500
0.872 0.500 0.128
0.243 0.243 0.696
0.243 0.696 0.243
0.304 0.757 0.757
0.696 0.243 0.243
0.757 0.304 0.757
0.757 0.757 0.304
```

***

No. 8
Entry from Alexandria: BiPd9Pt4 after structural relaxation (PBE).

Results
The energy is -148.46 eV/cell.

Structure (POSCAR):
```
BiPd9Pt4
1.0
7.895 0.000 0.000
-3.947 6.837 0.000
0.000 0.000 8.806
Bi Pd Pt
2 18 8
direct
0.333 0.667 0.250
0.667 0.333 0.750
0.080 0.540 0.750
0.207 0.414 0.020
0.207 0.414 0.480
0.207 0.793 0.020
0.207 0.793 0.480
0.414 0.207 0.520
0.414 0.207 0.980
0.460 0.540 0.750
0.460 0.920 0.750
0.540 0.080 0.250
0.540 0.460 0.250
0.586 0.793 0.020
0.586 0.793 0.480
0.793 0.207 0.520
0.793 0.207 0.980
0.793 0.586 0.520
0.793 0.586 0.980
0.920 0.460 0.250
0.000 0.000 0.000
0.000 0.000 0.500
0.113 0.225 0.750
0.113 0.887 0.750
0.225 0.113 0.250
0.775 0.887 0.750
0.887 0.113 0.250
0.887 0.775 0.250
```

***

No. 9
Entry from Alexandria: PmNiP2Os after structural relaxation (PBE).

Results
The energy is -36.56 eV/cell.

Structure (POSCAR):
```
PmNiP2Os
1.0
-1.907 1.907 5.662
1.907 -1.907 5.662
1.907 1.907 -5.662
Pm Ni P Os
1 1 2 1
direct
0.000 0.000 0.000
0.250 0.750 0.500
0.368 0.368 0.000
0.632 0.632 0.000
0.750 0.250 0.500
```

***

No. 10
Entry from Alexandria: ZnFeSbPt2 after structural relaxation (PBE).

Results
The value obtained for the formation energy (no corrections) is 1.069 eV/atom.

Structure (POSCAR):
```
ZnFeSbPt2
1.0
4.983 0.000 0.000
0.000 4.983 0.000
0.000 0.000 4.862
Zn Fe Sb Pt
1 1 1 2
direct
0.000 0.000 0.000
0.500 0.500 0.000
0.000 0.000 0.500
0.000 0.500 0.500
0.500 0.000 0.500
```

***

No. 11
Entry from Alexandria: SmDy2Bi after structural relaxation (PBE).

Results
The distance to the lowest polymorph of the same formula comes out at 0.43 eV per formula unit.

Structure (POSCAR):
```
SmDy2Bi
1.0
4.055 0.000 0.000
0.000 4.055 0.000
0.000 0.000 7.424
Sm Dy Bi
1 2 1
direct
0.000 0.000 0.000
0.500 0.500 0.274
0.500 0.500 0.726
0.000 0.000 0.500
```

***

No. 12
Entry from Alexandria: AcLaZnAg after structural relaxation (PBE).

Results
The energy is -14.18 eV/cell.

Structure (POSCAR):
```
AcLaZnAg
1.0
0.000 3.875 3.875
3.875 0.000 3.875
3.875 3.875 0.000
Ac La Zn Ag
1 1 1 1
direct
0.000 0.000 0.000
0.500 0.500 0.500
0.250 0.250 0.250
0.750 0.750 0.750
```

***

Number 1: calculated volume 18.35 Å³/atom, DOS(E_F) 0.00 states/eV/f.u.. Number 2: calculated volume 25.65 Å³/atom, DOS(E_F) 0.28 states/eV/f.u.. Number 3: calculated volume 21.95 Å³/atom, DOS(E_F) 3.58 states/eV/f.u.. Number 4: calculated volume 31.78 Å³/atom, DOS(E_F) 6.53 states/eV/f.u.. Number 5: calculated volume 27.57 Å³/atom, DOS(E_F) 2.66 states/eV/f.u.. Number 6: calculated volume 22.10 Å³/atom, DOS(E_F) 5.31 states/eV/f.u.. Number 7: calculated volume 13.81 Å³/atom, DOS(E_F) 22.49 states/eV/f.u.. Number 8: calculated volume 16.97 Å³/atom, DOS(E_F) 13.28 states/eV/f.u.. Number 9: calculated volume 16.47 Å³/atom, DOS(E_F) 3.59 states/eV/f.u.. Number 10: calculated volume 24.14 Å³/atom, DOS(E_F) 8.25 states/eV/f.u.. Number 11: calculated volume 30.52 Å³/atom, DOS(E_F) 4.56 states/eV/f.u.. Number 12: calculated volume 29.09 Å³/atom, DOS(E_F) 3.77 states/eV/f.u..